# LaCd5Rh2 (PBE, relaxed)
# - Calculated formation energy: -0.30 eV per atom
# - Total energy: -3.325 eV/atom
# - DOS at the Fermi energy: 0.482 states/eV per atom
# - Volume: 349.3 Å³ per cell
data_LaCd5Rh2
_chemical_formula_sum 'La2 Cd10 Rh4'
_space_group_name_H-M_alt 'I m m m'
_space_group_IT_number 71
_space_group_name_Hall '-I 2 2'
_cell_length_a 4.0848
_cell_length_b 8.7467
_cell_length_c 9.7771
_cell_angle_alpha 90.00
_cell_angle_beta 90.00
_cell_angle_gamma 90.00
loop_
_atom_site_label
_atom_site_type_symbol
_atom_site_fract_x
_atom_site_fract_y
_atom_site_fract_z
La1 La 0.0000 0.0000 0.0000
Cd1 Cd 0.0000 0.1859 0.3427
Cd2 Cd 0.0000 0.5000 0.0000
Rh1 Rh 0.0000 0.5000 0.2862



# La6Cd2Rh (PBE, relaxed)
# - Calculated formation energy: -0.27 eV per atom
# - Total energy: -4.575 eV/atom
# - DOS at the Fermi energy: 1.242 states/eV per atom
# - Volume: 602.8 Å³ per cell
data_La6Cd2Rh
_chemical_formula_sum 'La12 Cd4 Rh2'
_space_group_name_H-M_alt 'P 1 21/c 1'
_space_group_IT_number 14
_cell_length_a 7.2633
_cell_length_b 7.4478
_cell_length_c 13.2637
_cell_angle_alpha 90.00
_cell_angle_beta 122.84
_cell_angle_gamma 90.00
loop_
_space_group_symop_operation_xyz
'x,y,z'
'-x,-y,-z'
'-x,y+1/2,-z+1/2'
'x,-y+1/2,z+1/2'
loop_
_atom_site_label
_atom_site_type_symbol
_atom_site_fract_x
_atom_site_fract_y
_atom_site_fract_z
La1 La 0.1463 0.2051 0.4622
La2 La 0.2593 0.6821 0.4618
La3 La 0.3444 0.5163 0.7529
Cd1 Cd 0.2027 0.0788 0.7463
Rh1 Rh 0.5000 0.0000 0.5000



# La2CdRh3 (PBE, relaxed)
# - Calculated formation energy: -0.39 eV per atom
# - Total energy: -5.857 eV/atom
# - DOS at the Fermi energy: 0.525 states/eV per atom
# - Volume: 265.0 Å³ per cell
data_La2CdRh3
_chemical_formula_sum 'La4 Cd2 Rh6'
_space_group_name_H-M_alt 'I m m m'
_space_group_IT_number 71
_space_group_name_Hall '-I 2 2'
_cell_length_a 4.7681
_cell_length_b 5.5050
_cell_length_c 10.0942
_cell_angle_alpha 90.00
_cell_angle_beta 90.00
_cell_angle_gamma 90.00
loop_
_atom_site_label
_atom_site_type_symbol
_atom_site_fract_x
_atom_site_fract_y
_atom_site_fract_z
La1 La 0.0000 0.0000 0.1788
Cd1 Cd 0.0000 0.0000 0.5000
Rh1 Rh 0.0000 0.5000 0.1391
Rh2 Rh 0.0000 0.5000 0.5000



# La3Cd4Rh4 (PBE, relaxed)
# - Calculated formation energy: -0.49 eV per atom
# - Total energy: -4.837 eV/atom
# - DOS at the Fermi energy: 0.475 states/eV per atom
# - Volume: 496.9 Å³ per cell
data_La3Cd4Rh4
_chemical_formula_sum 'La6 Cd8 Rh8'
_space_group_name_H-M_alt 'I m m m'
_space_group_IT_number 71
_space_group_name_Hall '-I 2 2'
_cell_length_a 4.0453
_cell_length_b 8.0999
_cell_length_c 15.1655
_cell_angle_alpha 90.00
_cell_angle_beta 90.00
_cell_angle_gamma 90.00
loop_
_atom_site_label
_atom_site_type_symbol
_atom_site_fract_x
_atom_site_fract_y
_atom_site_fract_z
La1 La 0.0000 0.0000 0.0000
La2 La 0.0000 0.5000 0.1161
Cd1 Cd 0.0000 0.3150 0.3289
Rh1 Rh 0.0000 0.0000 0.2472
Rh2 Rh 0.0000 0.1928 0.5000



# La4Cd2Rh (PBE, relaxed)
# - Calculated formation energy: -0.30 eV per atom
# - Total energy: -4.430 eV/atom
# - DOS at the Fermi energy: 0.987 states/eV per atom
# - Volume: 863.8 Å³ per cell
data_La4Cd2Rh
_chemical_formula_sum 'La16 Cd8 Rh4'
_space_group_name_H-M_alt 'C m c m'
_space_group_IT_number 63
_space_group_name_Hall '-C 2c 2'
_cell_length_a 4.0581
_cell_length_b 11.1299
_cell_length_c 19.1245
_cell_angle_alpha 90.00
_cell_angle_beta 90.00
_cell_angle_gamma 90.00
loop_
_atom_site_label
_atom_site_type_symbol
_atom_site_fract_x
_atom_site_fract_y
_atom_site_fract_z
La1 La 0.0000 0.0000 0.0000
La2 La 0.0000 0.3182 0.2500
La3 La 0.0000 0.4109 0.6477
Cd1 Cd 0.0000 0.2908 0.0634
Rh1 Rh 0.0000 0.0337 0.2500



# LaCdRh2 (PBE, relaxed)
# - Calculated formation energy: -0.17 eV per atom
# - Total energy: -5.311 eV/atom
# - DOS at the Fermi energy: 0.233 states/eV per atom
# - Volume: 336.2 Å³ per cell
data_LaCdRh2
_chemical_formula_sum 'La4 Cd4 Rh8'
_space_group_name_H-M_alt 'I -4 2 d'
_space_group_IT_number 122
_space_group_name_Hall 'I -4 2bw'
_cell_length_a 7.2994
_cell_length_b 7.2994
_cell_length_c 6.3106
_cell_angle_alpha 90.00
_cell_angle_beta 90.00
_cell_angle_gamma 90.00
loop_
_atom_site_label
_atom_site_type_symbol
_atom_site_fract_x
_atom_site_fract_y
_atom_site_fract_z
La1 La 0.0000 0.0000 0.0000
Cd1 Cd 0.0000 0.0000 0.5000
Rh1 Rh 0.2480 0.2500 0.1250



# LaCdRh2 (PBE, relaxed)
# - Calculated formation energy: -0.37 eV per atom
# - Total energy: -5.502 eV/atom
# - DOS at the Fermi energy: 0.775 states/eV per atom
# - Volume: 79.0 Å³ per cell
data_LaCdRh2
_chemical_formula_sum 'La1 Cd1 Rh2'
_space_group_name_H-M_alt 'P 4/m m m'
_space_group_IT_number 123
_space_group_name_Hall '-P 4 2'
_cell_length_a 3.4877
_cell_length_b 3.4877
_cell_length_c 6.4967
_cell_angle_alpha 90.00
_cell_angle_beta 90.00
_cell_angle_gamma 90.00
loop_
_atom_site_label
_atom_site_type_symbol
_atom_site_fract_x
_atom_site_fract_y
_atom_site_fract_z
La1 La 0.0000 0.0000 0.0000
Cd1 Cd 0.0000 0.0000 0.5000
Rh1 Rh 0.5000 0.5000 0.2657



# La3Cd2Rh3 (PBE, relaxed)
# - Calculated formation energy: -0.56 eV per atom
# - Total energy: -5.395 eV/atom
# - DOS at the Fermi energy: 0.599 states/eV per atom
# - Volume: 372.7 Å³ per cell
data_La3Cd2Rh3
_chemical_formula_sum 'La6 Cd4 Rh6'
_space_group_name_H-M_alt 'P 63/m c m'
_space_group_IT_number 193
_space_group_name_Hall '-P 6c 2'
_cell_length_a 8.4962
_cell_length_b 8.4962
_cell_length_c 5.9619
_cell_angle_alpha 90.00
_cell_angle_beta 90.00
_cell_angle_gamma 120.00
loop_
_atom_site_label
_atom_site_type_symbol
_atom_site_fract_x
_atom_site_fract_y
_atom_site_fract_z
La1 La 0.0000 0.2745 0.2500
Cd1 Cd 0.3333 0.6667 0.0000
Rh1 Rh 0.0000 0.3884 0.7500



# La2CdRh3 (PBE, relaxed)
# - Calculated formation energy: -0.55 eV per atom
# - Total energy: -6.016 eV/atom
# - DOS at the Fermi energy: 0.682 states/eV per atom
# - Volume: 519.7 Å³ per cell
data_La2CdRh3
_chemical_formula_sum 'La8 Cd4 Rh12'
_space_group_name_H-M_alt 'P n m a'
_space_group_IT_number 62
_cell_length_a 7.4338
_cell_length_b 4.2344
_cell_length_c 16.5096
_cell_angle_alpha 90.00
_cell_angle_beta 90.00
_cell_angle_gamma 90.00
loop_
_space_group_symop_operation_xyz
'x,y,z'
'-x,-y,-z'
'-x+1/2,-y,z+1/2'
'x+1/2,y,-z+1/2'
'x+1/2,-y+1/2,-z+1/2'
'-x+1/2,y+1/2,z+1/2'
'-x,y+1/2,-z'
'x,-y+1/2,z'
loop_
_atom_site_label
_atom_site_type_symbol
_atom_site_fract_x
_atom_site_fract_y
_atom_site_fract_z
La1 La 0.0509 0.2500 0.2207
La2 La 0.1495 0.2500 0.4348
Cd1 Cd 0.0017 0.7500 0.0641
Rh1 Rh 0.0988 0.2500 0.6407
Rh2 Rh 0.2391 0.2500 0.7951
Rh3 Rh 0.2467 0.7500 0.5738



# La4Cd3Rh (PBE, relaxed)
# - Calculated formation energy: -0.42 eV per atom
# - Total energy: -4.142 eV/atom
# - DOS at the Fermi energy: 1.022 states/eV per atom
# - Volume: 227.8 Å³ per cell
data_La4Cd3Rh
_chemical_formula_sum 'La4 Cd3 Rh1'
_space_group_name_H-M_alt 'P 4/m m m'
_space_group_IT_number 123
_space_group_name_Hall '-P 4 2'
_cell_length_a 3.7780
_cell_length_b 3.7780
_cell_length_c 15.9578
_cell_angle_alpha 90.00
_cell_angle_beta 90.00
_cell_angle_gamma 90.00
loop_
_atom_site_label
_atom_site_type_symbol
_atom_site_fract_x
_atom_site_fract_y
_atom_site_fract_z
La1 La 0.0000 0.0000 0.1024
La2 La 0.0000 0.0000 0.3697
Cd1 Cd 0.5000 0.5000 0.2402
Cd2 Cd 0.5000 0.5000 0.5000
Rh1 Rh 0.5000 0.5000 0.0000



# LaCd3Rh (PBE, relaxed)
# - Calculated formation energy: -0.09 eV per atom
# - Total energy: -3.099 eV/atom
# - DOS at the Fermi energy: 1.103 states/eV per atom
# - Volume: 135.1 Å³ per cell
data_LaCd3Rh
_chemical_formula_sum 'La1 Cd3 Rh1'
_space_group_name_H-M_alt 'P m -3 m'
_space_group_IT_number 221
_space_group_name_Hall '-P 4 2 3'
_cell_length_a 5.1310
_cell_length_b 5.1310
_cell_length_c 5.1310
_cell_angle_alpha 90.00
_cell_angle_beta 90.00
_cell_angle_gamma 90.00
loop_
_atom_site_label
_atom_site_type_symbol
_atom_site_fract_x
_atom_site_fract_y
_atom_site_fract_z
La1 La 0.0000 0.0000 0.0000
Cd1 Cd 0.0000 0.5000 0.5000
Rh1 Rh 0.5000 0.5000 0.5000